# 1
Here is ScFeCl2 after structural relaxation from Alexandria. Energies are from PBE-GGA.

**Energy**: -19.8 eV/cell
**Volume**: 16.1 Å³/atom
**DOS(E_F)**: 1.166 states/eV per atom
**E above lowest polymorph**: 561 meV/atom

```
ScFeCl2
1.0
4.332 0.000 0.000
0.000 4.332 0.000
0.000 0.000 3.433
Sc Fe Cl
1 1 2
Direct
0.000 0.000 0.000 Sc
0.500 0.500 0.000 Fe
0.000 0.500 0.500 Cl
0.500 0.000 0.500 Cl
```

# 2
Here is ScFe2Cl after structural relaxation from Alexandria. Energies are from PBE-GGA.

**Energy**: -24.1 eV/cell
**Volume**: 16.7 Å³/atom
**DOS(E_F)**: 1.243 states/eV per atom
**E above lowest polymorph**: 509 meV/atom

```
ScFe2Cl
1.0
1.720 -2.406 0.000
1.720 2.406 0.000
0.000 0.000 8.077
Sc Fe Cl
1 2 1
Direct
0.000 0.000 0.000 Sc
0.500 0.500 0.264 Fe
0.500 0.500 0.736 Fe
0.000 0.000 0.500 Cl
```

# 3
Here is ScFeCl2 after structural relaxation from Alexandria. Energies are from PBE-GGA.

**Energy**: -21.0 eV/cell
**Volume**: 22.9 Å³/atom
**DOS(E_F)**: 0.387 states/eV per atom
**E above lowest polymorph**: 261 meV/atom

```
ScFeCl2
1.0
4.984 -1.608 0.000
4.984 1.608 0.000
-3.433 0.000 5.706
Sc Fe Cl
1 1 2
Direct
0.000 0.000 0.000 Sc
0.740 0.740 0.317 Fe
0.302 0.302 0.025 Cl
0.435 0.435 0.641 Cl
```